Here is a relaxed structure of YTcH2 from Alexandria. Energies are from GGA-PBE.

```
YTcH2
1.0
0.0000 2.8591 2.8591
2.8591 0.0000 2.8591
2.8591 2.8591 0.0000
Y Tc H
1 1 2
Direct
0.0000 0.0000 0.0000 Y
0.5000 0.5000 0.5000 Tc
0.2500 0.2500 0.2500 H
0.7500 0.7500 0.7500 H
```

Calculated values
Total energy in eV per atom: -5.495



Here is a relaxed structure of YTc2H from Alexandria. Energies are from GGA-PBE.

```
YTc2H
1.0
-2.7833 2.7833 4.0155
2.7833 -2.7833 4.0155
2.7833 2.7833 -4.0155
Y Tc H
2 4 2
Direct
0.3750 0.6250 0.7500 Y
0.6250 0.3750 0.2500 Y
0.0000 0.0000 0.0000 Tc
0.0000 0.0000 0.5000 Tc
0.0000 0.5000 0.0000 Tc
0.5000 0.0000 0.5000 Tc
0.1250 0.8750 0.2500 H
0.8750 0.1250 0.7500 H
```

Calculated values
Total energy in eV per atom: -7.589



Here is a relaxed structure of ZnTc2H2 from Alexandria. Energies are from GGA-PBE.

```
ZnTc2H2
1.0
5.8177 0.0000 0.0000
0.0000 5.8177 0.0000
0.0000 0.0000 2.9204
Zn Tc H
2 4 4
Direct
0.0000 0.0000 0.0000 Zn
0.5000 0.5000 0.0000 Zn
0.1410 0.3590 0.5000 Tc
0.3590 0.8590 0.5000 Tc
0.6410 0.1410 0.5000 Tc
0.8590 0.6410 0.5000 Tc
0.1260 0.6260 0.0000 H
0.3740 0.1260 0.0000 H
0.6260 0.8740 0.0000 H
0.8740 0.3740 0.0000 H
```

Calculated values
Total energy in eV per atom: -5.332